[1]
An optimized crystal structure of PrTmCd4. Source: OQMD via LeMat-Bulk, functional GGA-PBE.

## Properties
crystal system = monoclinic
spin magnetization = 0.020 μB per cell
energy of formation from the pure elements = -0.321 eV per atom
SG = P2/m, No. 10

Cell: 3.3789 4.9897 8.6782 Å, 90.00 90.01 90.00°
Atoms (fractional coordinates):
1 Cd 0.4965 0.5000 0.1734
2 Cd 0.5039 0.0000 0.3393
3 Cd 0.4961 0.0000 0.6607
4 Cd 0.5035 0.5000 0.8266
5 Pr 0.0000 0.0000 0.0000
6 Tm 0.0000 0.5000 0.5000

---

[2]
An optimized crystal structure of GaAg17. Source: OQMD via LeMat-Bulk, functional GGA-PBE.

## Properties
crystal system = monoclinic
SG = P2_1/m, No. 11

Cell: 5.0479 5.8247 34.7516 Å, 90.00 90.02 90.00°
Atoms (fractional coordinates):
1 Ag 0.5000 0.0000 0.0000
2 Ag 0.0000 0.2500 0.0000
3 Ag 0.5000 0.5000 0.0000
4 Ag 0.0000 0.7500 0.0000
5 Ag 0.8334 0.0001 0.0697
6 Ag 0.8334 0.4999 0.0697
7 Ag 0.3329 0.2500 0.0697
8 Ag 0.3333 0.7500 0.0697
9 Ag 0.6666 0.2500 0.1393
10 Ag 0.1666 0.5003 0.1394
11 Ag 0.1666 0.9997 0.1394
12 Ag 0.6672 0.7500 0.1394
13 Ag 0.0013 0.2500 0.2089
14 Ag 0.9992 0.7500 0.2090
15 Ag 0.4997 0.0009 0.2091
16 Ag 0.4997 0.4991 0.2091
17 Ag 0.8333 0.0025 0.2791
18 Ag 0.8333 0.4975 0.2791
19 Ag 0.3334 0.7500 0.2791
20 Ag 0.6666 0.2500 0.7209
21 Ag 0.1667 0.5025 0.7209
22 Ag 0.1667 0.9975 0.7209
23 Ag 0.5003 0.5009 0.7909
24 Ag 0.5003 0.9991 0.7909
25 Ag 0.0008 0.2500 0.7910
26 Ag 0.9987 0.7500 0.7911
27 Ag 0.3328 0.2500 0.8606
28 Ag 0.8334 0.0003 0.8606
29 Ag 0.8334 0.4997 0.8606
30 Ag 0.3334 0.7500 0.8607
31 Ag 0.6667 0.2500 0.9303
32 Ag 0.6671 0.7500 0.9303
33 Ag 0.1666 0.5001 0.9303
34 Ag 0.1666 0.9999 0.9303
35 Ga 0.3333 0.2500 0.2788
36 Ga 0.6667 0.7500 0.7212

---

[3]
An optimized crystal structure of AcBMo. Source: OQMD via LeMat-Bulk, functional GGA-PBE.

## Properties
crystal system = cubic
polymorph energy (0 for the lowest one) = 1174 meV/atom
spin magnetization = 2.445 μB per cell
SG = F-43m, No. 216

Cell: 4.6802 4.6802 4.6802 Å, 60.00 60.00 60.00°
Atoms (fractional coordinates):
1 Ac 0.0000 0.0000 0.0000
2 B 0.2500 0.2500 0.2500
3 Mo 0.7500 0.7500 0.7500

---

Record order is preserved below.
Electronic total energy: -2.459; -2.777; -5.106 eV/atom